# 1
Here is a relaxed structure of Cr2SnC from Alexandria. Energies are from PBE.

a = 4.741 Å, b = 4.741 Å, c = 6.821 Å
α = 69.66°, β = 69.66°, γ = 90.00°
Fractional coordinates of all 8 atoms:
Cr 0.402 0.125 0.250
Cr 0.348 0.625 0.250
Cr 0.375 0.598 0.750
Cr 0.875 0.652 0.750
C 0.500 0.500 0.000
C 0.250 0.750 0.500
Sn 0.000 0.000 0.000
Sn 0.750 0.250 0.500

Summary:
Calculated formation energy = 288 kJ/mol of formula units

# 2
Here is a relaxed structure of Cr2SnC from Alexandria. Energies are from PBE.

a = 4.174 Å, b = 4.174 Å, c = 4.174 Å
α = 60.00°, β = 60.00°, γ = 60.00°
Fractional coordinates of all 4 atoms:
Cr 0.250 0.250 0.250
Cr 0.750 0.750 0.750
C 0.000 0.000 0.000
Sn 0.500 0.500 0.500

Summary:
Calculated formation energy = 564 kJ/mol of formula units

# 3
Here is a relaxed structure of CrSnC3 from Alexandria. Energies are from PBE.

a = 4.206 Å, b = 4.206 Å, c = 4.206 Å
α = 90.00°, β = 90.00°, γ = 90.00°
Fractional coordinates of all 5 atoms:
Cr 0.500 0.500 0.500
C 0.000 0.500 0.000
C 0.000 0.000 0.500
C 0.500 0.000 0.000
Sn 0.000 0.000 0.000

Summary:
Calculated formation energy = 1605 kJ/mol of formula units
Energy above the lowest structure with this stoichiometry = 160.4 kJ/mol of atoms

# 4
Here is a relaxed structure of CrSnC3 from Alexandria. Energies are from PBE.

a = 3.918 Å, b = 3.918 Å, c = 3.918 Å
α = 90.00°, β = 90.00°, γ = 90.00°
Fractional coordinates of all 5 atoms:
Cr 0.000 0.000 0.000
C 0.000 0.500 0.000
C 0.000 0.000 0.500
C 0.500 0.000 0.000
Sn 0.500 0.500 0.500

Summary:
Calculated formation energy = 802 kJ/mol of formula units
Energy above the lowest structure with this stoichiometry = 0.0 kJ/mol of atoms

# 5
Here is a relaxed structure of TiCrSn2C from Alexandria. Energies are from PBE.

a = 4.639 Å, b = 4.006 Å, c = 4.639 Å
α = 90.00°, β = 90.00°, γ = 90.00°
Fractional coordinates of all 5 atoms:
Cr 0.500 0.500 0.500
C 0.000 0.000 0.000
Sn 0.000 0.000 0.500
Sn 0.500 0.000 0.000
Ti 0.000 0.500 0.000

Summary:
Calculated formation energy = 380 kJ/mol of formula units

# 6
Here is a relaxed structure of TlCr2SnC from Alexandria. Energies are from PBE.

a = 4.981 Å, b = 4.195 Å, c = 4.981 Å
α = 90.00°, β = 90.00°, γ = 90.00°
Fractional coordinates of all 5 atoms:
C 0.000 0.500 0.000
Cr 0.000 0.000 0.500
Cr 0.500 0.000 0.000
Tl 0.500 0.500 0.500
Sn 0.000 0.000 0.000

Summary:
Calculated formation energy = 1112 kJ/mol of formula units

# 7
Here is a relaxed structure of ZnCrSn2C from Alexandria. Energies are from PBE.

a = 5.143 Å, b = 3.802 Å, c = 5.143 Å
α = 90.00°, β = 90.00°, γ = 90.00°
Fractional coordinates of all 5 atoms:
C 0.000 0.500 0.000
Cr 0.000 0.000 0.000
Zn 0.500 0.500 0.500
Sn 0.000 0.000 0.500
Sn 0.500 0.000 0.000

Summary:
Calculated formation energy = 358 kJ/mol of formula units

# 8
Here is a relaxed structure of SrCr3C from Alexandria. Energies are from PBE.

a = 4.239 Å, b = 4.239 Å, c = 4.239 Å
α = 90.00°, β = 90.00°, γ = 90.00°
Fractional coordinates of all 5 atoms:
Sr 0.500 0.500 0.500
C 0.000 0.000 0.000
Cr 0.000 0.500 0.000
Cr 0.000 0.000 0.500
Cr 0.500 0.000 0.000

Summary:
Calculated formation energy = 369 kJ/mol of formula units
Energy above the lowest structure with this stoichiometry = 0.0 kJ/mol of atoms